# Ga2SnPd (PBE, relaxed)
data_Ga2SnPd
_symmetry_space_group_name_H-M 'P 1'
_symmetry_Int_Tables_number 1
_symmetry_space_group_name_Hall 'P 1'
_cell_length_a 3.135
_cell_length_b 3.135
_cell_length_c 7.825
_cell_angle_alpha 90.00
_cell_angle_beta 90.00
_cell_angle_gamma 90.00
loop_
_atom_site_label
_atom_site_fract_x
_atom_site_fract_y
_atom_site_fract_z
Ga1 0.000 0.000 0.802
Ga2 0.000 0.000 0.198
Sn1 0.500 0.500 0.500
Pd1 0.500 0.500 0.000
# - space-group type = P4/mmm
# - V (Å³ per atom) = 19.2
# - final energy (eV for the cell shown) = -16.10
# - M_tot (μB per formula unit) = 0.00
# - formation energy from the elements (meV per atom) = -211.8